# MnGaC2I (PBE, optimized geometry)
# Energy, eV per atom: -5.077
# Formation energy from raw total energies, eV per atom: 1.362
data_MnGaC2I
_chemical_formula_sum 'Mn1 Ga1 C2 I1'
_cell_length_a 3.806
_cell_length_b 3.806
_cell_length_c 5.576
_cell_angle_alpha 90.00
_cell_angle_beta 90.00
_cell_angle_gamma 90.00
_symmetry_space_group_name_H-M 'P 4/m m m'
_symmetry_Int_Tables_number 123
_symmetry_space_group_name_Hall '-P 4 2'
loop_
_atom_site_label
_atom_site_fract_x
_atom_site_fract_y
_atom_site_fract_z
_atom_site_occupancy
Mn1 0.000 0.000 0.000 1
Ga1 0.500 0.500 0.500 1
C1 0.000 0.500 0.000 1
I1 0.000 0.000 0.500 1



# GaCIN2 (PBE, optimized geometry)
# Energy, eV per atom: -3.619
# Energy above the most stable polymorph in this dataset, eV per atom: 0.228
# Formation energy from raw total energies, eV per atom: 2.471
data_GaCIN2
_chemical_formula_sum 'Ga1 C1 I1 N2'
_cell_length_a 3.886
_cell_length_b 3.886
_cell_length_c 4.402
_cell_angle_alpha 90.00
_cell_angle_beta 90.00
_cell_angle_gamma 90.00
_symmetry_space_group_name_H-M 'P 4/m m m'
_symmetry_Int_Tables_number 123
_symmetry_space_group_name_Hall '-P 4 2'
loop_
_atom_site_label
_atom_site_fract_x
_atom_site_fract_y
_atom_site_fract_z
_atom_site_occupancy
Ga1 0.000 0.000 0.000 1
C1 0.500 0.500 0.500 1
I1 0.500 0.500 0.000 1
N1 0.000 0.500 0.500 1



# GaCIN2 (PBE, optimized geometry)
# Energy, eV per atom: -3.847
# Energy above the most stable polymorph in this dataset, eV per atom: 0.000
# Formation energy from raw total energies, eV per atom: 2.243
data_GaCIN2
_chemical_formula_sum 'Ga1 C1 I1 N2'
_cell_length_a 3.692
_cell_length_b 3.692
_cell_length_c 8.168
_cell_angle_alpha 90.00
_cell_angle_beta 90.00
_cell_angle_gamma 90.00
_symmetry_space_group_name_H-M 'P 4/m m m'
_symmetry_Int_Tables_number 123
_symmetry_space_group_name_Hall '-P 4 2'
loop_
_atom_site_label
_atom_site_fract_x
_atom_site_fract_y
_atom_site_fract_z
_atom_site_occupancy
Ga1 0.000 0.000 0.000 1
C1 0.500 0.500 0.500 1
I1 0.000 0.000 0.500 1
N1 0.000 0.500 0.000 1



# Nd4GaCI2 (PBE, optimized geometry)
# Energy, eV per atom: -4.999
# Formation energy from raw total energies, eV per atom: -0.696
data_Nd4GaCI2
_chemical_formula_sum 'Nd4 Ga1 C1 I2'
_cell_length_a 7.405
_cell_length_b 3.965
_cell_length_c 8.206
_cell_angle_alpha 90.00
_cell_angle_beta 105.83
_cell_angle_gamma 90.00
_symmetry_space_group_name_H-M 'P 1 2/m 1'
_symmetry_Int_Tables_number 10
loop_
_symmetry_equiv_pos_as_xyz
'x,y,z'
'-x,-y,-z'
'-x,y,-z'
'x,-y,z'
loop_
_atom_site_label
_atom_site_fract_x
_atom_site_fract_y
_atom_site_fract_z
_atom_site_occupancy
Nd1 0.198 0.000 0.175 1
Nd2 0.232 0.500 0.805 1
Ga1 0.500 0.000 0.000 1
C1 0.000 0.500 0.000 1
I1 0.000 0.000 0.500 1
I2 0.500 0.500 0.500 1



# GaCI2O (PBE, optimized geometry)
# Energy, eV per atom: -3.249
# Energy above the most stable polymorph in this dataset, eV per atom: 0.000
# Formation energy from raw total energies, eV per atom: 0.812
data_GaCI2O
_chemical_formula_sum 'Ga1 C1 I2 O1'
_cell_length_a 6.195
_cell_length_b 6.195
_cell_length_c 3.099
_cell_angle_alpha 90.00
_cell_angle_beta 90.00
_cell_angle_gamma 90.00
_symmetry_space_group_name_H-M 'P 4/m m m'
_symmetry_Int_Tables_number 123
_symmetry_space_group_name_Hall '-P 4 2'
loop_
_atom_site_label
_atom_site_fract_x
_atom_site_fract_y
_atom_site_fract_z
_atom_site_occupancy
Ga1 0.000 0.000 0.000 1
C1 0.500 0.500 0.500 1
I1 0.000 0.500 0.500 1
O1 0.500 0.500 0.000 1



# GaCI2O (PBE, optimized geometry)
# Energy, eV per atom: -3.069
# Energy above the most stable polymorph in this dataset, eV per atom: 0.180
# Formation energy from raw total energies, eV per atom: 0.992
data_GaCI2O
_chemical_formula_sum 'Ga1 C1 I2 O1'
_cell_length_a 5.812
_cell_length_b 5.812
_cell_length_c 3.533
_cell_angle_alpha 90.00
_cell_angle_beta 90.00
_cell_angle_gamma 90.00
_symmetry_space_group_name_H-M 'P 4/m m m'
_symmetry_Int_Tables_number 123
_symmetry_space_group_name_Hall '-P 4 2'
loop_
_atom_site_label
_atom_site_fract_x
_atom_site_fract_y
_atom_site_fract_z
_atom_site_occupancy
Ga1 0.000 0.000 0.000 1
C1 0.500 0.500 0.500 1
I1 0.000 0.500 0.000 1
O1 0.000 0.000 0.500 1



# Pm4GaCI2 (PBE, optimized geometry)
# Energy, eV per atom: -4.998
# Formation energy from raw total energies, eV per atom: -0.703
data_Pm4GaCI2
_chemical_formula_sum 'Pm4 Ga1 C1 I2'
_cell_length_a 7.356
_cell_length_b 3.941
_cell_length_c 8.127
_cell_angle_alpha 90.00
_cell_angle_beta 105.94
_cell_angle_gamma 90.00
_symmetry_space_group_name_H-M 'P 1 2/m 1'
_symmetry_Int_Tables_number 10
loop_
_symmetry_equiv_pos_as_xyz
'x,y,z'
'-x,-y,-z'
'-x,y,-z'
'x,-y,z'
loop_
_atom_site_label
_atom_site_fract_x
_atom_site_fract_y
_atom_site_fract_z
_atom_site_occupancy
Pm1 0.198 0.000 0.174 1
Pm2 0.232 0.500 0.806 1
Ga1 0.500 0.000 0.000 1
C1 0.000 0.500 0.000 1
I1 0.000 0.000 0.500 1
I2 0.500 0.500 0.500 1



# Pr4GaCI2 (PBE, optimized geometry)
# Energy, eV per atom: -5.000
# Formation energy from raw total energies, eV per atom: -0.691
data_Pr4GaCI2
_chemical_formula_sum 'Pr4 Ga1 C1 I2'
_cell_length_a 7.456
_cell_length_b 3.990
_cell_length_c 8.286
_cell_angle_alpha 90.00
_cell_angle_beta 105.71
_cell_angle_gamma 90.00
_symmetry_space_group_name_H-M 'P 1 2/m 1'
_symmetry_Int_Tables_number 10
loop_
_symmetry_equiv_pos_as_xyz
'x,y,z'
'-x,-y,-z'
'-x,y,-z'
'x,-y,z'
loop_
_atom_site_label
_atom_site_fract_x
_atom_site_fract_y
_atom_site_fract_z
_atom_site_occupancy
Pr1 0.198 0.000 0.176 1
Pr2 0.233 0.500 0.804 1
Ga1 0.500 0.000 0.000 1
C1 0.000 0.500 0.000 1
I1 0.000 0.000 0.500 1
I2 0.500 0.500 0.500 1